# 1
KRuPt2 after structural relaxation, computed with PBE-GGA.

## Properties
DFT formation energy	869	meV/atom
energy	-18.980	eV per cell
calculated volume	72.3	Å³ per cell

abc: 4.6764 4.6764 4.6764
angles: 60.00 60.00 60.00
Sites, in units of the cell vectors:
K (0.0000, 0.0000, 0.0000)
Ru (0.2500, 0.2500, 0.2500)
Pt (0.5000, 0.5000, 0.5000)
Pt (0.7500, 0.7500, 0.7500)



# 2
Hf3HgC after structural relaxation, computed with PBE-GGA.

## Properties
DFT formation energy	-446	meV/atom
energy	-41.615	eV per cell
calculated volume	93.2	Å³ per cell

abc: 3.2671 3.2671 10.0774
angles: 90.03 90.03 60.01
Sites, in units of the cell vectors:
Hf (0.0000, 0.0000, 0.0000)
Hf (0.3333, 0.3333, 0.7478)
Hf (0.6658, 0.6658, 0.2537)
Hg (0.9992, 0.9992, 0.5007)
C (0.6667, 0.6667, 0.8666)



# 3
LiAcBeN2 after structural relaxation, computed with PBE-GGA.

## Properties
energy	-60.978	eV per cell
energy relative to the elements, uncorrected	-0.8179	eV per atom
calculated volume	145.3	Å³ per cell

abc: 5.5677 4.0403 6.5486
angles: 90.00 99.46 90.00
Sites, in units of the cell vectors:
Li (0.0000, 0.0581, 0.2500)
Li (0.0000, 0.9419, 0.7500)
Ac (0.5000, 0.2594, 0.7500)
Ac (0.5000, 0.7406, 0.2500)
Be (0.0000, 0.5000, 0.0000)
Be (0.0000, 0.5000, 0.5000)
N (0.2299, 0.2777, 0.0465)
N (0.2299, 0.7223, 0.5465)
N (0.7701, 0.2777, 0.4535)
N (0.7701, 0.7223, 0.9535)



# 4
Ac3AlPd3 after structural relaxation, computed with PBE-GGA.

## Properties
DFT formation energy	-762	meV/atom
energy	-73.967	eV per cell
calculated volume	378.5	Å³ per cell

abc: 6.4912 6.4912 15.4000
angles: 109.96 109.96 38.73
Sites, in units of the cell vectors:
Ac (0.0197, 0.0197, 0.3810)
Ac (0.0986, 0.0986, 0.9225)
Ac (0.2365, 0.2365, 0.2319)
Ac (0.7635, 0.7635, 0.7681)
Ac (0.9014, 0.9014, 0.0775)
Ac (0.9803, 0.9803, 0.6190)
Al (0.2576, 0.2576, 0.5832)
Al (0.7424, 0.7424, 0.4168)
Pd (0.3634, 0.3634, 0.4562)
Pd (0.3773, 0.3773, 0.9252)
Pd (0.4457, 0.4457, 0.7556)
Pd (0.5543, 0.5543, 0.2444)
Pd (0.6227, 0.6227, 0.0748)
Pd (0.6366, 0.6366, 0.5438)



# 5
AcPr8Nd3 after structural relaxation, computed with PBE-GGA.

## Properties
DFT formation energy	274	meV/atom
energy	-53.358	eV per cell
calculated volume	446.7	Å³ per cell

abc: 9.5681 9.5681 9.5681
angles: 140.37 125.55 69.42
Sites, in units of the cell vectors:
Ac (0.0000, 0.0000, 0.0000)
Pr (0.0717, 0.5024, 0.7764)
Pr (0.0812, 0.3857, 0.0230)
Pr (0.2739, 0.4976, 0.5693)
Pr (0.3627, 0.0583, 0.9770)
Pr (0.6373, 0.6143, 0.6955)
Pr (0.7261, 0.2953, 0.2236)
Pr (0.9188, 0.9417, 0.3045)
Pr (0.9283, 0.7047, 0.4307)
Nd (0.3885, 0.8885, 0.5000)
Nd (0.5000, 0.5000, 0.0000)
Nd (0.6115, 0.1115, 0.5000)



# 6
SiSb2Rh after structural relaxation, computed with PBE-GGA.

## Properties
energy	-20.496	eV per cell
energy relative to the elements, uncorrected	0.1309	eV per atom
calculated volume	79.5	Å³ per cell

abc: 3.2773 3.2773 7.4050
angles: 90.00 90.00 90.00
Sites, in units of the cell vectors:
Si (0.0000, 0.0000, 0.0000)
Sb (0.5000, 0.5000, 0.2746)
Sb (0.5000, 0.5000, 0.7254)
Rh (0.0000, 0.0000, 0.5000)



# 7
ReMo5 after structural relaxation, computed with PBE-GGA.

## Properties
DFT formation energy	295	meV/atom
energy	-64.836	eV per cell
calculated volume	96.0	Å³ per cell

abc: 2.7205 2.7205 12.9664
angles: 90.00 90.00 90.00
Sites, in units of the cell vectors:
Re (0.0000, 0.0000, 0.0000)
Mo (0.0000, 0.0000, 0.3259)
Mo (0.0000, 0.0000, 0.6741)
Mo (0.5000, 0.5000, 0.1550)
Mo (0.5000, 0.5000, 0.5000)
Mo (0.5000, 0.5000, 0.8450)



# 8
CrGa2AgS after structural relaxation, computed with PBE-GGA.

## Properties
energy	-18.975	eV per cell
energy relative to the elements, uncorrected	0.7362	eV per atom
calculated volume	122.4	Å³ per cell

abc: 4.9421 4.9421 5.0104
angles: 90.00 90.00 90.00
Sites, in units of the cell vectors:
Cr (0.0000, 0.0000, 0.0000)
Ga (0.0000, 0.5000, 0.5000)
Ga (0.5000, 0.0000, 0.5000)
Ag (0.5000, 0.5000, 0.5000)
S (0.5000, 0.5000, 0.0000)



# 9
YAg4Pb after structural relaxation, computed with PBE-GGA.

## Properties
DFT formation energy	-156	meV/atom
energy	-22.516	eV per cell
calculated volume	129.8	Å³ per cell

abc: 5.6834 5.6834 5.6834
angles: 60.00 60.00 60.00
Sites, in units of the cell vectors:
Y (0.0000, 0.0000, 0.0000)
Ag (0.1240, 0.6253, 0.6253)
Ag (0.6253, 0.1240, 0.6253)
Ag (0.6253, 0.6253, 0.1240)
Ag (0.6253, 0.6253, 0.6253)
Pb (0.2500, 0.2500, 0.2500)



# 10
K2TlPdCl6 after structural relaxation, computed with PBE-GGA.

## Properties
energy	-64.769	eV per cell
energy relative to the elements, uncorrected	-1.1550	eV per atom
calculated volume	579.0	Å³ per cell

abc: 7.2714 7.5893 12.6841
angles: 90.00 124.19 90.00
Sites, in units of the cell vectors:
K (0.2267, 0.0670, 0.2468)
K (0.2267, 0.4330, 0.7468)
K (0.7733, 0.5670, 0.2532)
K (0.7733, 0.9330, 0.7532)
Tl (0.5000, 0.0000, 0.0000)
Tl (0.5000, 0.5000, 0.5000)
Pd (0.0000, 0.0000, 0.5000)
Pd (0.0000, 0.5000, 0.0000)
Cl (0.1334, 0.2285, 0.9550)
Cl (0.1334, 0.2715, 0.4550)
Cl (0.2292, 0.6799, 0.9566)
Cl (0.2292, 0.8201, 0.4566)
Cl (0.3102, 0.0191, 0.7262)
Cl (0.3102, 0.4809, 0.2262)
Cl (0.6898, 0.5191, 0.7738)
Cl (0.6898, 0.9809, 0.2738)
Cl (0.7708, 0.1799, 0.5434)
Cl (0.7708, 0.3201, 0.0434)
Cl (0.8666, 0.7285, 0.5450)
Cl (0.8666, 0.7715, 0.0450)



# 11
In3GaP after structural relaxation, computed with PBE-GGA.

## Properties
DFT formation energy	386	meV/atom
energy	-14.722	eV per cell
calculated volume	144.1	Å³ per cell

abc: 5.2430 5.2430 5.2430
angles: 90.00 90.00 90.00
Sites, in units of the cell vectors:
In (0.0000, 0.0000, 0.5000)
In (0.0000, 0.5000, 0.0000)
In (0.5000, 0.0000, 0.0000)
Ga (0.5000, 0.5000, 0.5000)
P (0.0000, 0.0000, 0.0000)



# 12
Ce2Er2Co3 after structural relaxation, computed with PBE-GGA.

## Properties
DFT formation energy	-130	meV/atom
energy	-43.220	eV per cell
calculated volume	157.1	Å³ per cell

abc: 6.4936 6.4936 6.7845
angles: 99.18 99.18 33.84
Sites, in units of the cell vectors:
Ce (0.1272, 0.1272, 0.3874)
Ce (0.8728, 0.8728, 0.6126)
Er (0.3687, 0.3687, 0.1305)
Er (0.6313, 0.6313, 0.8695)
Co (0.2657, 0.2657, 0.7484)
Co (0.5000, 0.5000, 0.5000)
Co (0.7343, 0.7343, 0.2516)